DFT (PBE-GGA) results for a relaxed SmHgPb crystal.

Computed properties:
E_form in eV per formula unit: -1.0

Cell lengths 3.7661, 3.7661, 6.5265 Å; angles 106.77, 106.77, 90.00 degrees
Sites, in units of the cell vectors:
Pb 0.2739 0.2739 0.5478
Hg 0.6143 0.6143 0.2285
Sm 0.9618 0.9618 0.9236

DFT (PBE-GGA) results for a relaxed Sm2Hg8Pb crystal.

Computed properties:
E_form in eV per formula unit: -2.5

Cell lengths 4.7669, 7.2694, 9.2330 Å; angles 109.71, 104.96, 90.00 degrees
Sites, in units of the cell vectors:
Sm 0.7838 0.3162 0.5677
Sm 0.2162 0.6838 0.4323
Hg 0.3887 0.5667 0.7774
Hg 0.6560 0.8890 0.3121
Hg 0.8459 0.8035 0.6918
Hg 0.9660 0.2850 0.9320
Hg 0.1541 0.1965 0.3082
Hg 0.3440 0.1110 0.6879
Hg 0.6113 0.4333 0.2226
Hg 0.0340 0.7150 0.0680
Pb 0.5000 0.0000 0.0000

DFT (PBE-GGA) results for a relaxed Sm5Hg4Pb crystal.

Computed properties:
E_form in eV per formula unit: -4.8

Cell lengths 3.7889, 3.7889, 19.3492 Å; angles 90.00, 90.00, 90.00 degrees
Site moments in Bohr magnetons follow the coordinates.
Sites, in units of the cell vectors:
Sm 0.5000 0.5000 0.1078  0.05
Sm 0.5000 0.5000 0.3038  0.13
Sm 0.5000 0.5000 0.5000  0.19
Sm 0.5000 0.5000 0.6962  0.13
Sm 0.5000 0.5000 0.8922  0.05
Hg 0.0000 0.0000 0.2075  0.01
Hg 0.0000 0.0000 0.4002  0.02
Hg 0.0000 0.0000 0.5998  0.02
Hg 0.0000 0.0000 0.7925  0.01
Pb 0.0000 0.0000 0.0000  -0.01

DFT (PBE-GGA) results for a relaxed SmHg5Pb2 crystal.

Computed properties:
E_form in eV per formula unit: -1.1

Cell lengths 6.5684, 6.5684, 6.5688 Å; angles 106.40, 106.40, 115.80 degrees
Sites, in units of the cell vectors:
Sm 0.7783 0.7782 0.0000
Hg 0.2780 0.2782 0.5004
Hg 0.2782 0.7775 0.0000
Hg 0.7778 0.2780 0.0000
Hg 0.7776 0.7778 0.4996
Hg 0.2776 0.2773 0.0000
Pb 0.2778 0.7780 0.5000
Pb 0.7778 0.2780 0.5000

DFT (PBE-GGA) results for a relaxed Sm5Hg2Pb2 crystal.

Computed properties:
E_form in eV per formula unit: -4.0

Cell lengths 8.1110, 8.3414, 9.1301 Å; angles 117.18, 90.00, 90.00 degrees
Sites, in units of the cell vectors:
Sm 0.0000 0.0000 0.0000
Sm 0.5000 0.5000 0.0000
Sm 0.8341 0.8097 0.2746
Sm 0.1659 0.4649 0.2746
Sm 0.3341 0.9649 0.2746
Sm 0.6659 0.3097 0.2746
Sm 0.1659 0.1903 0.7254
Sm 0.8341 0.5351 0.7254
Sm 0.6659 0.0351 0.7254
Sm 0.3341 0.6903 0.7254
Hg 0.6309 0.8694 0.0000
Hg 0.3691 0.1306 0.0000
Hg 0.1309 0.6306 0.0000
Hg 0.8691 0.3694 0.0000
Pb 0.0000 0.2066 0.4132
Pb 0.5000 0.7066 0.4132
Pb 0.0000 0.7934 0.5868
Pb 0.5000 0.2934 0.5868

DFT (PBE-GGA) results for a relaxed Sm4HgPb crystal.

Computed properties:
E_form in eV per formula unit: -1.0

Cell lengths 5.2461, 5.2466, 7.4489 Å; angles 89.98, 89.99, 90.00 degrees
Sites, in units of the cell vectors:
Sm 0.5013 0.9971 0.2607
Sm 0.5013 0.9975 0.7355
Sm 0.0014 0.4973 0.7355
Sm 0.0012 0.4973 0.2608
Hg 0.0013 0.9973 0.4982
Pb 0.5013 0.4973 0.9981

DFT (PBE-GGA) results for a relaxed SmHg6Pb12 crystal.

Computed properties:
E_form in eV per formula unit: -0.2

Cell lengths 8.4272, 8.4272, 8.4272 Å; angles 94.79, 94.79, 94.79 degrees
Sites, in units of the cell vectors:
Sm 0.0000 0.0000 0.0000
Hg 0.7536 0.8621 0.2260
Hg 0.7740 0.2464 0.1379
Hg 0.1379 0.7740 0.2464
Hg 0.2464 0.1379 0.7740
Hg 0.2260 0.7536 0.8621
Hg 0.8621 0.2260 0.7536
Pb 0.8001 0.4657 0.5110
Pb 0.5110 0.8001 0.4657
Pb 0.4657 0.5110 0.8001
Pb 0.1999 0.5343 0.4890
Pb 0.4890 0.1999 0.5343
Pb 0.5343 0.4890 0.1999
Pb 0.0765 0.1595 0.3963
Pb 0.8405 0.6037 0.9235
Pb 0.6037 0.9235 0.8405
Pb 0.9235 0.8405 0.6037
Pb 0.1595 0.3963 0.0765
Pb 0.3963 0.0765 0.1595

DFT (PBE-GGA) results for a relaxed SrSmHgPb crystal.

Computed properties:
E_form in eV per formula unit: -2.0

Cell lengths 3.9331, 3.9331, 7.9878 Å; angles 90.00, 90.00, 90.00 degrees
Sites, in units of the cell vectors:
Sr 0.0000 0.0000 0.8473
Sm 0.0000 0.0000 0.3694
Hg 0.5000 0.5000 0.5866
Pb 0.5000 0.5000 0.1247

DFT (PBE-GGA) results for a relaxed SrSmHgPb crystal.

Computed properties:
E_form in eV per formula unit: -1.9

Cell lengths 5.5899, 5.5899, 5.5899 Å; angles 60.00, 60.00, 60.00 degrees
Sites, in units of the cell vectors:
Pb 0.2500 0.2500 0.2500
Sr 0.5000 0.5000 0.5000
Hg 0.7500 0.7500 0.7500
Sm 0.0000 0.0000 0.0000

DFT (PBE-GGA) results for a relaxed TbSm2Hg2Pb2 crystal.

Computed properties:
E_form in eV per formula unit: -1.6

Cell lengths 5.0994, 5.0994, 9.5013 Å; angles 74.43, 74.43, 60.00 degrees
Sites, in units of the cell vectors:
Tb 0.0000 0.0000 0.0000
Sm 0.1302 0.1302 0.6093
Sm 0.8698 0.8698 0.3907
Hg 0.5669 0.5669 0.2994
Hg 0.4331 0.4331 0.7006
Pb 0.7246 0.7246 0.8261
Pb 0.2754 0.2754 0.1739

DFT (PBE-GGA) results for a relaxed Sm6Hg2Te3Pb crystal.

Cell lengths 4.3692, 9.0727, 10.2035 Å; angles 108.88, 102.36, 90.00 degrees
Sites, in units of the cell vectors:
Sm 0.3307 0.8897 0.6614
Sm 0.6629 0.6067 0.3258
Sm 0.6693 0.1103 0.3386
Sm 0.0058 0.2516 0.0116
Sm 0.9942 0.7484 0.9884
Sm 0.3371 0.3933 0.6742
Hg 0.8201 0.6258 0.6401
Hg 0.1799 0.3742 0.3599
Te 0.5000 0.5000 0.0000
Te 0.8372 0.1451 0.6744
Te 0.1628 0.8549 0.3256
Pb 0.5000 0.0000 0.0000

DFT (PBE-GGA) results for a relaxed SmThHgPb crystal.

Computed properties:
E_form in eV per formula unit: -1.3

Cell lengths 5.4722, 5.4722, 5.4722 Å; angles 60.00, 60.00, 60.00 degrees
Sites, in units of the cell vectors:
Pb 0.5000 0.5000 0.5000
Sm 0.2500 0.2500 0.2500
Hg 0.0000 0.0000 0.0000
Th 0.7500 0.7500 0.7500

DFT (PBE-GGA) results for a relaxed SmTiHgPb crystal.

Computed properties:
E_form in eV per formula unit: -0.5

Cell lengths 5.1851, 5.1851, 5.1851 Å; angles 60.00, 60.00, 60.00 degrees
Site moments in Bohr magnetons follow the coordinates.
Sites, in units of the cell vectors:
Pb 0.5000 0.5000 0.5000  -0.03
Hg 0.0000 0.0000 0.0000  0.01
Sm 0.7500 0.7500 0.7500  0.14
Ti 0.2500 0.2500 0.2500  1.43

DFT (PBE-GGA) results for a relaxed SmTmHgPb crystal.

Computed properties:
E_form in eV per formula unit: -1.8

Cell lengths 3.8302, 3.8302, 7.4245 Å; angles 90.00, 90.00, 90.00 degrees
Sites, in units of the cell vectors:
Sm 0.0000 0.0000 0.8504
Tm 0.0000 0.0000 0.3677
Hg 0.5000 0.5000 0.5921
Pb 0.5000 0.5000 0.1178

DFT (PBE-GGA) results for a relaxed SmTmHgPb crystal.

Computed properties:
E_form in eV per formula unit: -1.8

Cell lengths 5.3601, 5.3601, 5.3601 Å; angles 60.00, 60.00, 60.00 degrees
Sites, in units of the cell vectors:
Pb 0.2500 0.2500 0.2500
Tm 0.0000 0.0000 0.0000
Hg 0.7500 0.7500 0.7500
Sm 0.5000 0.5000 0.5000

DFT (PBE-GGA) results for a relaxed SmYHgPb crystal.

Computed properties:
E_form in eV per formula unit: -2.0

Cell lengths 5.3931, 5.3931, 5.3931 Å; angles 60.00, 60.00, 60.00 degrees
Sites, in units of the cell vectors:
Pb 0.7500 0.7500 0.7500
Y 0.0000 0.0000 0.0000
Hg 0.2500 0.2500 0.2500
Sm 0.5000 0.5000 0.5000

DFT (PBE-GGA) results for a relaxed Sm2YHg2Pb2 crystal.

Computed properties:
E_form in eV per formula unit: -1.6

Cell lengths 5.0897, 5.0897, 9.5456 Å; angles 74.54, 74.54, 60.00 degrees
Sites, in units of the cell vectors:
Sm 0.1303 0.1303 0.6092
Sm 0.8697 0.8697 0.3908
Y 0.0000 0.0000 0.0000
Hg 0.5668 0.5668 0.2997
Hg 0.4332 0.4332 0.7003
Pb 0.7246 0.7246 0.8263
Pb 0.2754 0.2754 0.1737

DFT (PBE-GGA) results for a relaxed SmZnHgPb crystal.

Computed properties:
E_form in eV per formula unit: -0.8

Cell lengths 5.2324, 5.2324, 5.2324 Å; angles 60.00, 60.00, 60.00 degrees
Sites, in units of the cell vectors:
Pb 0.2500 0.2500 0.2500
Zn 0.0000 0.0000 0.0000
Hg 0.5000 0.5000 0.5000
Sm 0.7500 0.7500 0.7500

DFT (PBE-GGA) results for a relaxed SmZrHgPb crystal.

Computed properties:
E_form in eV per formula unit: -0.9

Cell lengths 5.2452, 5.2452, 5.2452 Å; angles 60.00, 60.00, 60.00 degrees
Site moments in Bohr magnetons follow the coordinates.
Sites, in units of the cell vectors:
Pb 0.7500 0.7500 0.7500  0.00
Zr 0.5000 0.5000 0.5000  0.29
Hg 0.2500 0.2500 0.2500  0.00
Sm 0.0000 0.0000 0.0000  0.05

DFT (PBE-GGA) results for a relaxed Sn2Hg3Pb crystal.

Computed properties:
E_form in eV per formula unit: 0.3

Cell lengths 3.3610, 11.3344, 9.9801 Å; angles 115.97, 90.00, 90.00 degrees
Sites, in units of the cell vectors:
Sn 0.2500 0.3762 0.4901
Sn 0.7500 0.6238 0.5099
Sn 0.7500 0.2563 0.8601
Sn 0.2500 0.7437 0.1399
Hg 0.7500 0.1320 0.5207
Hg 0.2500 0.8680 0.4793
Hg 0.7500 0.5162 0.1723
Hg 0.2500 0.4838 0.8277
Hg 0.2500 0.2698 0.1593
Hg 0.7500 0.7302 0.8407
Pb 0.2500 0.9901 0.8331
Pb 0.7500 0.0099 0.1669

DFT (PBE-GGA) results for a relaxed Sn2Hg2Pb crystal.

Computed properties:
E_form in eV per formula unit: 0.2

Cell lengths 3.5011, 3.5011, 11.3871 Å; angles 98.84, 98.84, 90.00 degrees
Sites, in units of the cell vectors:
Sn 0.8004 0.8004 0.6007
Sn 0.1996 0.1996 0.3993
Hg 0.6024 0.6024 0.2048
Hg 0.3976 0.3976 0.7952
Pb 0.0000 0.0000 0.0000

DFT (PBE-GGA) results for a relaxed Sn3HgPb6 crystal.

Computed properties:
E_form in eV per formula unit: 0.6

Cell lengths 6.1344, 10.7220, 10.7220 Å; angles 120.42, 90.00, 90.00 degrees
Sites, in units of the cell vectors:
Sn 0.5289 0.8995 0.6862
Sn 0.0289 0.6862 0.8995
Sn 0.0037 0.3965 0.6035
Sn 0.5037 0.6035 0.3965
Sn 0.0289 0.1005 0.3138
Sn 0.5289 0.3138 0.1005
Hg 0.2285 0.1454 0.8546
Hg 0.7285 0.8546 0.1454
Pb 0.0254 0.7221 0.6120
Pb 0.5254 0.6120 0.7221
Pb 0.4112 0.5944 0.0607
Pb 0.9112 0.0607 0.5944
Pb 0.3518 0.9655 0.0345
Pb 0.4704 0.2923 0.7077
Pb 0.9704 0.7077 0.2923
Pb 0.8518 0.0345 0.9655
Pb 0.4112 0.9393 0.4056
Pb 0.9112 0.4056 0.9393
Pb 0.0254 0.3880 0.2779
Pb 0.5254 0.2779 0.3880

DFT (PBE-GGA) results for a relaxed SnHgPb5 crystal.

Computed properties:
E_form in eV per formula unit: 0.3

Cell lengths 4.9948, 4.9948, 8.9311 Å; angles 90.00, 90.00, 90.00 degrees
Sites, in units of the cell vectors:
Sn 0.0000 0.0000 0.5000
Hg 0.0000 0.0000 0.0000
Pb 0.5000 0.5000 0.0000
Pb 0.5000 0.0000 0.2699
Pb 0.0000 0.5000 0.2699
Pb 0.5000 0.0000 0.7301
Pb 0.0000 0.5000 0.7301

DFT (PBE-GGA) results for a relaxed SnHg6Pb2 crystal.

Computed properties:
E_form in eV per formula unit: 0.4

Cell lengths 3.4000, 8.9225, 8.9225 Å; angles 66.15, 96.30, 96.30 degrees
Sites, in units of the cell vectors:
Sn 0.0000 0.0000 0.0000
Hg 0.7743 0.6571 0.9728
Hg 0.2257 0.0272 0.3429
Hg 0.2257 0.3429 0.0272
Hg 0.5000 0.7155 0.2845
Hg 0.7743 0.9728 0.6571
Hg 0.5000 0.2845 0.7155
Pb 0.8866 0.3689 0.3689
Pb 0.1134 0.6311 0.6311

| no. | E (eV/atom) | magnetization (Bohr magnetons per cell) |
| --- | --- | --- |
| 1 | -3.229 | 0.00 |
| 2 | -1.642 | 0.00 |
| 3 | -3.329 | 1.10 |
| 4 | -1.838 | 0.00 |
| 5 | -3.958 | 0.00 |
| 6 | -3.982 | 0.00 |
| 7 | -2.695 | 0.00 |
| 8 | -3.109 | 0.00 |
| 9 | -3.079 | 0.00 |
| 10 | -3.386 | 0.00 |
| 11 | -4.439 | 0.00 |
| 12 | -4.361 | 0.00 |
| 13 | -4.293 | 2.12 |
| 14 | -3.753 | 0.00 |
| 15 | -3.743 | 0.00 |
| 16 | -4.286 | 0.00 |
| 17 | -3.649 | 0.00 |
| 18 | -2.708 | 0.00 |
| 19 | -4.541 | 0.56 |
| 20 | -2.051 | 0.00 |
| 21 | -2.420 | 0.00 |
| 22 | -3.396 | 0.00 |
| 23 | -3.219 | 0.00 |
| 24 | -1.424 | 0.00 |